No. 1
Ho3TeAs2 | the Open Quantum Materials Database | PBE | optimized geometry; calculated total energy = -35.24 eV for the cell shown; total magnetization = 0.008 μB per cell; SG = P-3m1
1.0
4.155 0.000 0.000
-2.077 3.598 0.000
0.000 0.000 10.340
Ho Te As
3 1 2
Direct
0.000 0.000 0.000
0.333 0.667 0.305
0.667 0.333 0.695
0.000 0.000 0.500
0.333 0.667 0.840
0.667 0.333 0.160

***

No. 2
LuAgPbSeS2 | the Open Quantum Materials Database | PBE | optimized geometry; calculated total energy = -57.15 eV for the cell shown; total magnetization = 0.009 μB per cell; SG = Cmcm
1.0
1.995 -6.686 0.000
1.995 6.686 0.000
0.000 0.000 10.659
Lu Ag Pb Se S
2 2 2 2 4
Direct
0.000 0.000 0.000
0.000 0.000 0.500
0.453 0.547 0.750
0.547 0.453 0.250
0.243 0.757 0.250
0.757 0.243 0.750
0.090 0.910 0.750
0.910 0.090 0.250
0.366 0.634 0.546
0.366 0.634 0.954
0.634 0.366 0.046
0.634 0.366 0.454

***

No. 3
KScPdSe3 | the Open Quantum Materials Database | PBE | optimized geometry; polymorph energy (0 for the lowest one) = 0 meV/atom; total magnetization = 0.003 μB per cell; SG = P2_1/m
1.0
8.738 0.000 0.000
0.000 3.970 0.000
-3.424 0.000 9.097
K Sc Pd Se
2 2 2 6
Direct
0.211 0.250 0.243
0.789 0.750 0.757
0.329 0.750 0.857
0.671 0.250 0.143
0.091 0.250 0.587
0.909 0.750 0.413
0.116 0.250 0.859
0.243 0.750 0.554
0.457 0.750 0.152
0.543 0.250 0.848
0.757 0.250 0.446
0.884 0.750 0.141

***

No. 4
Na2Er3Te4Cl3O12 | the Open Quantum Materials Database | PBE | optimized geometry; calculated total energy = -285.62 eV for the cell shown; total magnetization = 0.004 μB per cell; SG = C2/c
1.0
11.803 -2.737 0.000
11.803 2.737 0.000
-11.439 0.000 11.835
Na Er Te Cl O
4 6 8 6 24
Direct
0.063 0.606 0.925
0.394 0.937 0.575
0.606 0.063 0.425
0.937 0.394 0.075
0.247 0.752 0.916
0.248 0.753 0.584
0.253 0.747 0.250
0.747 0.253 0.750
0.752 0.247 0.416
0.753 0.248 0.084
0.072 0.657 0.300
0.160 0.564 0.594
0.343 0.928 0.200
0.436 0.840 0.906
0.564 0.160 0.094
0.657 0.072 0.800
0.840 0.436 0.406
0.928 0.343 0.700
0.000 0.500 0.000
0.003 0.497 0.668
0.497 0.003 0.168
0.500 0.000 0.500
0.503 0.997 0.832
0.997 0.503 0.332
0.008 0.856 0.286
0.031 0.119 0.388
0.068 0.101 0.077
0.101 0.068 0.577
0.119 0.031 0.888
0.144 0.992 0.214
0.357 0.498 0.743
0.383 0.475 0.410
0.398 0.430 0.072
0.430 0.398 0.572
0.475 0.383 0.910
0.498 0.357 0.243
0.502 0.643 0.757
0.525 0.617 0.090
0.570 0.602 0.428
0.602 0.570 0.928
0.617 0.525 0.590
0.643 0.502 0.257
0.856 0.008 0.786
0.881 0.969 0.112
0.899 0.932 0.423
0.932 0.899 0.923
0.969 0.881 0.612
0.992 0.144 0.714

***

No. 5
Zn2TeO | the Open Quantum Materials Database | PBE | optimized geometry; polymorph energy (0 for the lowest one) = 2 meV/atom; SG = Cmc2_1
1.0
1.867 -6.804 0.000
1.867 6.804 0.000
0.000 0.000 5.827
Zn Te O
4 2 2
Direct
0.058 0.942 0.500
0.365 0.635 0.587
0.635 0.365 0.087
0.942 0.058 0.000
0.321 0.679 0.147
0.679 0.321 0.647
0.070 0.930 0.157
0.930 0.070 0.657

***

No. 6
LiNbNi | the Open Quantum Materials Database | PBE | optimized geometry; polymorph energy (0 for the lowest one) = 52 meV/atom; total magnetization = 0.015 μB per cell; SG = F-43m
1.0
0.000 2.760 2.760
2.760 0.000 2.760
2.760 2.760 0.000
Li Nb Ni
1 1 1
Direct
0.000 0.000 0.000
0.750 0.750 0.750
0.250 0.250 0.250